(1)
Below is a relaxed Zr2TaCo crystal, with properties calculated at the GGA-PBE level.

The structure in extended XYZ format:
```
8
Lattice="-3.716 3.716 2.785 3.716 -3.716 2.785 3.716 3.716 -2.785" Properties=species:S:1:pos:R:3 pbc="T T T"
Zr 5.575 1.522 -0.696
Zr 1.522 1.858 0.696
Zr -1.858 2.195 2.089
Zr 2.195 1.858 3.481
Ta 3.716 0.000 1.392
Ta 0.000 0.000 2.785
Co 0.000 0.000 0.000
Co 0.000 3.716 1.392
```

Values from the calculation:
Space group   I-42d
Crystal system   tetragonal
V   153.86 Å³ per cell
Excess energy over the best structure of this formula in the dataset   406.5 meV per atom
Total DFT energy (no corrections)   -69.53 eV/cell
E_form   323 meV per atom

=====

(2)
Below is a relaxed Ag2BF5 crystal, with properties calculated at the GGA-PBE level.

The structure in extended XYZ format:
```
16
Lattice="4.463 -4.465 0.000 4.463 4.465 0.000 -4.451 0.000 6.730" Properties=species:S:1:pos:R:3 pbc="T T T"
Ag 0.000 0.000 0.000
Ag -2.226 0.000 3.365
Ag 2.231 2.232 0.000
Ag 0.006 -2.232 3.365
B 1.124 1.115 5.047
B 3.350 -1.115 1.682
F 3.350 3.345 1.682
F 0.304 1.936 5.867
F 0.302 0.294 4.230
F 1.944 1.936 4.227
F 2.528 -0.294 0.865
F 1.946 0.294 5.865
F 2.530 -1.936 2.503
F 4.172 -0.294 2.500
F 4.170 -1.936 0.862
F 1.124 -3.345 5.047
```

Values from the calculation:
Space group   C2/c
Crystal system   monoclinic
V   268.16 Å³ per cell
Excess energy over the best structure of this formula in the dataset   0.0 meV per atom
Total DFT energy (no corrections)   -74.78 eV/cell

=====

(3)
Below is a relaxed Tm3Zr3NbN8 crystal, with properties calculated at the GGA-PBE level.

The structure in extended XYZ format:
```
15
Lattice="3.260 1.882 5.452 -3.260 1.882 5.452 0.000 -3.764 5.452" Properties=species:S:1:pos:R:3 pbc="T T T"
Tm -1.630 -0.941 5.452
Tm -1.630 0.941 10.905
Tm 0.000 1.882 5.452
Zr -3.260 0.000 8.178
Zr -1.630 0.941 2.726
Zr 1.630 0.941 2.726
Nb 0.000 0.000 8.178
N 0.000 0.000 4.037
N -1.544 -0.891 9.392
N 0.000 -1.783 6.965
N -1.544 0.891 6.965
N 1.544 -0.891 9.392
N 0.000 1.783 9.392
N 1.544 0.891 6.965
N 0.000 0.000 12.320
```

Values from the calculation:
Space group   R-3m
Crystal system   trigonal
V   200.69 Å³ per cell
Total DFT energy (no corrections)   -139.27 eV/cell

=====

(4)
Below is a relaxed CeFe2H8 crystal, with properties calculated at the GGA-PBE level.

The structure in extended XYZ format:
```
11
Lattice="4.000 0.000 0.000 0.000 4.000 0.000 0.000 0.000 5.044" Properties=species:S:1:pos:R:3 pbc="T T T"
Ce 0.000 0.000 0.000
Fe 0.000 2.000 2.522
Fe 2.000 0.000 2.522
H 1.130 1.130 1.628
H 1.130 1.130 3.416
H 1.130 2.870 1.628
H 1.130 2.870 3.416
H 2.870 1.130 1.628
H 2.870 1.130 3.416
H 2.870 2.870 1.628
H 2.870 2.870 3.416
```

Values from the calculation:
Space group   P4/mmm
Crystal system   tetragonal
V   80.70 Å³ per cell
Excess energy over the best structure of this formula in the dataset   96.8 meV per atom
Total DFT energy (no corrections)   -50.38 eV/cell

=====

(5)
Below is a relaxed Mn2ZnSCl crystal, with properties calculated at the GGA-PBE level.

The structure in extended XYZ format:
```
5
Lattice="4.989 0.000 0.000 0.000 4.989 0.000 0.000 0.000 4.469" Properties=species:S:1:pos:R:3 pbc="T T T"
Mn 0.000 2.495 0.000
Mn 2.495 0.000 0.000
Zn 0.000 0.000 0.000
S 2.495 2.495 2.235
Cl 0.000 0.000 2.235
```

Values from the calculation:
Space group   P4/mmm
Crystal system   tetragonal
V   111.25 Å³ per cell
Total DFT energy (no corrections)   -21.95 eV/cell

=====

(6)
Below is a relaxed Be2Te crystal, with properties calculated at the GGA-PBE level.

The structure in extended XYZ format:
```
6
Lattice="3.893 0.000 0.000 -1.947 3.372 0.000 0.000 0.000 9.025" Properties=species:S:1:pos:R:3 pbc="T T T"
Be 0.000 0.000 1.028
Be 0.000 0.000 3.484
Be 0.000 0.000 5.541
Be 0.000 0.000 7.997
Te 0.000 2.248 2.256
Te 1.947 1.124 6.769
```

Values from the calculation:
Space group   P6_3/mmc
Crystal system   hexagonal
V   118.47 Å³ per cell
Excess energy over the best structure of this formula in the dataset   416.8 meV per atom
Total DFT energy (no corrections)   -18.56 eV/cell

=====

(7)
Below is a relaxed HfUH crystal, with properties calculated at the GGA-PBE level.

The structure in extended XYZ format:
```
6
Lattice="3.762 0.000 0.000 0.000 4.803 0.000 0.000 0.000 5.276" Properties=species:S:1:pos:R:3 pbc="T T T"
Hf 0.941 0.000 1.288
Hf 2.822 0.000 3.988
U 0.941 2.401 3.493
U 2.822 2.401 1.783
H 0.000 2.401 0.000
H 1.881 2.401 0.000
```

Values from the calculation:
Space group   Pmma
Crystal system   orthorhombic
V   95.34 Å³ per cell
Excess energy over the best structure of this formula in the dataset   0.0 meV per atom
Total DFT energy (no corrections)   -48.40 eV/cell

=====

(8)
Below is a relaxed LiHo3Mg2 crystal, with properties calculated at the GGA-PBE level.

The structure in extended XYZ format:
```
6
Lattice="3.755 0.000 0.000 0.000 3.755 0.000 0.000 0.000 11.208" Properties=species:S:1:pos:R:3 pbc="T T T"
Li 0.000 0.000 0.000
Ho 1.877 1.877 1.867
Ho 1.877 1.877 5.604
Ho 1.877 1.877 9.341
Mg 0.000 0.000 3.741
Mg 0.000 0.000 7.467
```

Values from the calculation:
Space group   P4/mmm
Crystal system   tetragonal
V   158.00 Å³ per cell
Total DFT energy (no corrections)   -18.83 eV/cell
E_form   0 meV per atom

=====

(9)
Below is a relaxed SbPtW2 crystal, with properties calculated at the GGA-PBE level.

The structure in extended XYZ format:
```
4
Lattice="2.875 0.000 0.000 0.000 4.223 0.000 -1.069 0.000 5.819" Properties=species:S:1:pos:R:3 pbc="T T T"
Sb 0.000 0.000 0.000
Pt -0.535 0.000 2.910
W 0.865 2.112 1.616
W 0.941 2.112 4.203
```

Values from the calculation:
Space group   P2/m
Crystal system   monoclinic
V   70.67 Å³ per cell
Total DFT energy (no corrections)   -34.45 eV/cell

=====

(10)
Below is a relaxed Nd2Y3Pt2 crystal, with properties calculated at the GGA-PBE level.

The structure in extended XYZ format:
```
7
Lattice="6.276 -1.891 0.000 6.276 1.891 0.000 -4.142 0.000 8.231" Properties=species:S:1:pos:R:3 pbc="T T T"
Nd 0.763 0.000 2.573
Nd 7.646 0.000 5.659
Y 4.548 0.000 0.544
Y 4.205 0.000 4.116
Y 3.861 0.000 7.687
Pt -0.928 0.000 6.096
Pt 9.337 0.000 2.135
```

Values from the calculation:
Space group   C2/m
Crystal system   monoclinic
V   195.36 Å³ per cell
Total DFT energy (no corrections)   -46.31 eV/cell
E_form   -758 meV per atom

=====

(11)
Below is a relaxed KGeSe4 crystal, with properties calculated at the GGA-PBE level.

The structure in extended XYZ format:
```
12
Lattice="6.790 0.000 0.000 0.001 7.012 0.000 3.386 2.737 7.179" Properties=species:S:1:pos:R:3 pbc="T T T"
K 3.091 3.120 3.586
K 7.087 6.628 3.594
Ge 0.000 3.506 0.000
Ge 3.395 0.000 0.000
Se 0.784 6.182 0.389
Se 3.774 7.193 4.640
Se 2.612 2.674 0.383
Se 3.780 6.063 2.542
Se 6.398 3.685 4.638
Se 7.566 7.074 6.797
Se 6.404 2.556 2.540
Se 9.393 3.566 6.791
```

Values from the calculation:
Space group   P-1
Crystal system   triclinic
V   341.82 Å³ per cell
Excess energy over the best structure of this formula in the dataset   37.6 meV per atom
Total DFT energy (no corrections)   -43.32 eV/cell

=====

(12)
Below is a relaxed ErZrPd6 crystal, with properties calculated at the GGA-PBE level.

The structure in extended XYZ format:
```
8
Lattice="4.066 0.000 0.000 0.000 4.066 0.000 0.000 0.000 8.135" Properties=species:S:1:pos:R:3 pbc="T T T"
Er 0.000 0.000 0.000
Zr 0.000 0.000 4.067
Pd 0.000 2.033 2.090
Pd 0.000 2.033 6.045
Pd 2.033 0.000 2.090
Pd 2.033 0.000 6.045
Pd 2.033 2.033 0.000
Pd 2.033 2.033 4.067
```

Values from the calculation:
Space group   P4/mmm
Crystal system   tetragonal
V   134.46 Å³ per cell
Excess energy over the best structure of this formula in the dataset   0.0 meV per atom
Total DFT energy (no corrections)   -51.30 eV/cell
E_form   -879 meV per atom

=====

(13)
Below is a relaxed Cr2AgSe crystal, with properties calculated at the GGA-PBE level.

The structure in extended XYZ format:
```
4
Lattice="4.601 0.000 0.000 0.000 4.601 0.000 0.000 0.000 3.364" Properties=species:S:1:pos:R:3 pbc="T T T"
Cr 0.000 2.301 0.000
Cr 2.301 0.000 0.000
Ag 0.000 0.000 1.682
Se 2.301 2.301 1.682
```

Values from the calculation:
Space group   P4/mmm
Crystal system   tetragonal
V   71.23 Å³ per cell
Total DFT energy (no corrections)   -24.14 eV/cell

=====

(14)
Below is a relaxed Ce5Au3 crystal, with properties calculated at the GGA-PBE level.

The structure in extended XYZ format:
```
8
Lattice="8.332 0.000 0.000 -4.166 7.216 0.000 0.000 0.000 3.312" Properties=species:S:1:pos:R:3 pbc="T T T"
Ce -3.111 5.389 0.000
Ce 1.055 1.827 0.000
Ce 0.000 4.810 0.000
Ce 4.166 2.405 0.000
Ce 6.222 0.000 0.000
Au -1.572 2.723 1.656
Au 3.144 0.000 1.656
Au 2.594 4.493 1.656
```

Values from the calculation:
Space group   P-62m
Crystal system   hexagonal
V   199.10 Å³ per cell
Total DFT energy (no corrections)   -42.55 eV/cell
E_form   -381 meV per atom

=====

(15)
Below is a relaxed ZrMo2 crystal, with properties calculated at the GGA-PBE level.

The structure in extended XYZ format:
```
6
Lattice="2.326 -7.024 0.000 2.326 7.024 0.000 0.000 0.000 3.245" Properties=species:S:1:pos:R:3 pbc="T T T"
Zr 2.326 5.746 2.434
Zr 2.326 -5.746 0.811
Mo 2.326 3.403 0.811
Mo 2.326 1.186 2.434
Mo 2.326 -1.186 0.811
Mo 2.326 -3.403 2.434
```

Values from the calculation:
Space group   Cmcm
Crystal system   orthorhombic
V   106.02 Å³ per cell
Excess energy over the best structure of this formula in the dataset   170.9 meV per atom
Total DFT energy (no corrections)   -60.29 eV/cell
E_form   21 meV per atom

=====

(16)
Below is a relaxed TaAl2CuRe crystal, with properties calculated at the GGA-PBE level.

The structure in extended XYZ format:
```
5
Lattice="4.869 0.000 0.000 0.000 4.869 0.000 0.000 0.000 4.611" Properties=species:S:1:pos:R:3 pbc="T T T"
Ta 0.000 0.000 0.000
Al 0.000 2.435 0.000
Al 2.435 0.000 0.000
Cu 0.000 0.000 2.306
Re 2.435 2.435 2.306
```

Values from the calculation:
Space group   P4/mmm
Crystal system   tetragonal
V   109.33 Å³ per cell
Total DFT energy (no corrections)   -26.22 eV/cell
E_form   1932 meV per atom

=====

(17)
Below is a relaxed Np2VSi4Pt3 crystal, with properties calculated at the GGA-PBE level.

The structure in extended XYZ format:
```
10
Lattice="4.173 0.000 0.000 0.000 4.173 0.000 0.000 0.000 9.988" Properties=species:S:1:pos:R:3 pbc="T T T"
Np 0.000 2.086 2.486
Np 2.086 0.000 7.502
V 2.086 2.086 0.000
Si 0.000 0.000 4.994
Si 0.000 2.086 8.629
Si 2.086 0.000 1.359
Si 2.086 2.086 4.994
Pt 0.000 0.000 0.000
Pt 0.000 2.086 6.216
Pt 2.086 0.000 3.773
```

Values from the calculation:
Space group   P-4m2
Crystal system   tetragonal
V   173.93 Å³ per cell
Total DFT energy (no corrections)   -81.44 eV/cell

=====

(18)
Below is a relaxed NiAgSe2 crystal, with properties calculated at the GGA-PBE level.

The structure in extended XYZ format:
```
4
Lattice="1.787 1.032 6.661 -1.787 1.032 6.661 0.000 -2.064 6.661" Properties=species:S:1:pos:R:3 pbc="T T T"
Ni 0.000 0.000 0.000
Ag 0.000 0.000 9.992
Se 0.000 0.000 5.348
Se 0.000 0.000 14.636
```

Values from the calculation:
Space group   R-3m
Crystal system   trigonal
V   73.70 Å³ per cell
Excess energy over the best structure of this formula in the dataset   0.0 meV per atom
Total DFT energy (no corrections)   -16.19 eV/cell

=====

(19)
Below is a relaxed YTc2Os crystal, with properties calculated at the GGA-PBE level.

The structure in extended XYZ format:
```
4
Lattice="3.174 0.000 0.000 0.000 3.174 0.000 0.000 0.000 6.980" Properties=species:S:1:pos:R:3 pbc="T T T"
Y 0.000 0.000 0.000
Tc 1.587 1.587 2.065
Tc 1.587 1.587 4.914
Os 0.000 0.000 3.490
```

Values from the calculation:
Space group   P4/mmm
Crystal system   tetragonal
V   70.33 Å³ per cell
Excess energy over the best structure of this formula in the dataset   328.7 meV per atom
Total DFT energy (no corrections)   -37.16 eV/cell
E_form   316 meV per atom

=====

(20)
Below is a relaxed BaFeSeBr2 crystal, with properties calculated at the GGA-PBE level.

The structure in extended XYZ format:
```
5
Lattice="5.251 0.000 0.000 0.000 5.251 0.000 0.000 0.000 5.015" Properties=species:S:1:pos:R:3 pbc="T T T"
Ba 0.000 0.000 0.000
Fe 2.625 2.625 2.508
Se 2.625 2.625 0.000
Br 0.000 2.625 2.508
Br 2.625 0.000 2.508
```

Values from the calculation:
Space group   P4/mmm
Crystal system   tetragonal
V   138.28 Å³ per cell
Total DFT energy (no corrections)   -22.39 eV/cell